## Ba2AcP3Pt12 (PBE-GGA)

Data for a geometry-optimized Ba2AcP3Pt12 structure.

a = 8.1174 Å, b = 8.1174 Å, c = 8.1174 Å
α = 62.45°, β = 62.45°, γ = 62.45°
Last column: nearest neighbours and their distance in Å.
Sites, in units of the cell vectors:
Ba: 0.6001 0.6001 0.6001  6 Pt 3.13-3.19
Ba: 0.3999 0.3999 0.3999  6 Pt 3.13-3.19
Ac: 0.0000 0.0000 0.0000  6 Pt 2.85
P: 0.5000 0.0000 0.0000  6 Pt 2.31-2.32
P: 0.0000 0.5000 0.0000  6 Pt 2.31-2.32
P: 0.0000 0.0000 0.5000  6 Pt 2.31-2.32
Pt: 0.3296 0.3296 0.9047  2 P 2.31
Pt: 0.8643 0.8643 0.4174  1 P 2.32
Pt: 0.4174 0.8643 0.8643  1 P 2.32
Pt: 0.9047 0.3296 0.3296  2 P 2.31
Pt: 0.8643 0.4174 0.8643  1 P 2.32
Pt: 0.3296 0.9047 0.3296  2 P 2.31
Pt: 0.6704 0.6704 0.0953  2 P 2.31
Pt: 0.1357 0.1357 0.5826  1 P 2.32
Pt: 0.5826 0.1357 0.1357  1 P 2.32
Pt: 0.0953 0.6704 0.6704  2 P 2.31
Pt: 0.1357 0.5826 0.1357  1 P 2.32
Pt: 0.6704 0.0953 0.6704  2 P 2.31

Properties
Electronic total energy, eV/atom: -5.71
Size of the total moment, Bohr magnetons per cell: 0.0
ΔH_f (0 K), eV per atom: -0.339